First-principles (GGA+U) data for crystalline NpBe2CrO8 at its relaxed geometry, as listed in the Alexandria database.

Unit cell a=5.3439 b=5.3439 c=5.6559 alpha=90.00 beta=90.00 gamma=120.00
Sites, in units of the cell vectors:
Np (0.0000, 0.0000, 0.0000)
Be (0.3333, 0.6667, 0.3362)
Be (0.6667, 0.3333, 0.6638)
Cr (0.0000, 0.0000, 0.5000)
O (0.1628, 0.3256, 0.2518)
O (0.1628, 0.8372, 0.2518)
O (0.3256, 0.1628, 0.7482)
O (0.3333, 0.6667, 0.6225)
O (0.6667, 0.3333, 0.3775)
O (0.6744, 0.8372, 0.2518)
O (0.8372, 0.1628, 0.7482)
O (0.8372, 0.6744, 0.7482)



First-principles (GGA+U) data for crystalline NpBeCr2O8 at its relaxed geometry, as listed in the Alexandria database.

Unit cell a=4.6502 b=4.6502 c=5.9447 alpha=90.00 beta=90.00 gamma=91.22
Sites, in units of the cell vectors:
Np (0.0000, 0.0000, 0.0000)
Be (0.0000, 0.0000, 0.5000)
Cr (0.5000, 0.5000, 0.2661)
Cr (0.5000, 0.5000, 0.7339)
O (0.1901, 0.1901, 0.2681)
O (0.1901, 0.1901, 0.7319)
O (0.3033, 0.6967, 0.5000)
O (0.3108, 0.6892, 0.0000)
O (0.6892, 0.3108, 0.0000)
O (0.6967, 0.3033, 0.5000)
O (0.8099, 0.8099, 0.2681)
O (0.8099, 0.8099, 0.7319)



First-principles (GGA+U) data for crystalline BeCr2O4 at its relaxed geometry, as listed in the Alexandria database.

Summary:
excess energy over the best structure of this formula in the dataset = 59 meV/atom

Unit cell a=9.3873 b=3.0522 c=9.6904 alpha=90.00 beta=90.00 gamma=90.00
Sites, in units of the cell vectors:
Be (0.1560, 0.2500, 0.1172)
Be (0.3440, 0.7500, 0.6172)
Be (0.6560, 0.2500, 0.3828)
Be (0.8440, 0.7500, 0.8828)
Cr (0.1176, 0.2500, 0.8018)
Cr (0.1220, 0.2500, 0.4301)
Cr (0.3780, 0.7500, 0.9301)
Cr (0.3824, 0.7500, 0.3018)
Cr (0.6176, 0.2500, 0.6982)
Cr (0.6220, 0.2500, 0.0699)
Cr (0.8780, 0.7500, 0.5699)
Cr (0.8824, 0.7500, 0.1982)
O (0.0038, 0.7500, 0.8668)
O (0.0143, 0.2500, 0.6139)
O (0.2414, 0.2500, 0.9790)
O (0.2430, 0.2500, 0.2534)
O (0.2570, 0.7500, 0.7534)
O (0.2586, 0.7500, 0.4790)
O (0.4857, 0.7500, 0.1139)
O (0.4962, 0.2500, 0.3668)
O (0.5038, 0.7500, 0.6332)
O (0.5143, 0.2500, 0.8861)
O (0.7414, 0.2500, 0.5210)
O (0.7430, 0.2500, 0.2466)
O (0.7570, 0.7500, 0.7466)
O (0.7586, 0.7500, 0.0210)
O (0.9857, 0.7500, 0.3861)
O (0.9962, 0.2500, 0.1332)



First-principles (GGA+U) data for crystalline BeCr2O4 at its relaxed geometry, as listed in the Alexandria database.

Summary:
excess energy over the best structure of this formula in the dataset = 0 meV/atom

Unit cell a=9.9856 b=5.8095 c=4.5984 alpha=90.00 beta=90.00 gamma=90.00
Sites, in units of the cell vectors:
Be (0.0928, 0.2500, 0.0691)
Be (0.4072, 0.7500, 0.5691)
Be (0.5928, 0.2500, 0.4309)
Be (0.9072, 0.7500, 0.9309)
Cr (0.0000, 0.0000, 0.5000)
Cr (0.0000, 0.5000, 0.5000)
Cr (0.2303, 0.7500, 0.0022)
Cr (0.2697, 0.2500, 0.5022)
Cr (0.5000, 0.0000, 0.0000)
Cr (0.5000, 0.5000, 0.0000)
Cr (0.7303, 0.7500, 0.4978)
Cr (0.7697, 0.2500, 0.9978)
O (0.0591, 0.7500, 0.7719)
O (0.0926, 0.2500, 0.7241)
O (0.1629, 0.0256, 0.2378)
O (0.1629, 0.4744, 0.2378)
O (0.3371, 0.5256, 0.7378)
O (0.3371, 0.9744, 0.7378)
O (0.4074, 0.7500, 0.2241)
O (0.4409, 0.2500, 0.2719)
O (0.5591, 0.7500, 0.7281)
O (0.5926, 0.2500, 0.7759)
O (0.6629, 0.0256, 0.2622)
O (0.6629, 0.4744, 0.2622)
O (0.8371, 0.5256, 0.7622)
O (0.8371, 0.9744, 0.7622)
O (0.9074, 0.7500, 0.2759)
O (0.9409, 0.2500, 0.2281)



First-principles (GGA+U) data for crystalline Be2CrO at its relaxed geometry, as listed in the Alexandria database.

Unit cell a=5.0738 b=5.0738 c=5.0738 alpha=117.30 beta=117.30 gamma=94.74
Sites, in units of the cell vectors:
Be (0.3750, 0.2225, 0.3475)
Be (0.7775, 0.1250, 0.1525)
Be (0.8750, 0.0275, 0.6525)
Be (0.9725, 0.6250, 0.8475)
Cr (0.2500, 0.7500, 0.5000)
Cr (0.5000, 0.5000, 0.0000)
O (0.0000, 0.0000, 0.0000)
O (0.7500, 0.2500, 0.5000)



First-principles (GGA+U) data for crystalline BeCr3O at its relaxed geometry, as listed in the Alexandria database.

Summary:
excess energy over the best structure of this formula in the dataset = 0 meV/atom

Unit cell a=4.1620 b=4.1620 c=4.1620 alpha=90.00 beta=90.00 gamma=90.00
Sites, in units of the cell vectors:
Be (0.0000, 0.0000, 0.0000)
Cr (0.0000, 0.5000, 0.5000)
Cr (0.5000, 0.0000, 0.5000)
Cr (0.5000, 0.5000, 0.0000)
O (0.5000, 0.5000, 0.5000)



First-principles (GGA+U) data for crystalline BeCrOsO6 at its relaxed geometry, as listed in the Alexandria database.

Unit cell a=4.7998 b=4.7998 c=8.6877 alpha=90.00 beta=90.00 gamma=120.00
Sites, in units of the cell vectors:
Be (0.3333, 0.6667, 0.2500)
Be (0.6667, 0.3333, 0.7500)
Cr (0.0000, 0.0000, 0.0000)
Cr (0.0000, 0.0000, 0.5000)
Os (0.3333, 0.6667, 0.7500)
Os (0.6667, 0.3333, 0.2500)
O (0.0092, 0.3491, 0.1332)
O (0.0092, 0.6601, 0.3668)
O (0.3399, 0.3491, 0.3668)
O (0.3399, 0.9908, 0.1332)
O (0.3491, 0.0092, 0.6332)
O (0.3491, 0.3399, 0.8668)
O (0.6509, 0.6601, 0.1332)
O (0.6509, 0.9908, 0.3668)
O (0.6601, 0.0092, 0.8668)
O (0.6601, 0.6509, 0.6332)
O (0.9908, 0.3399, 0.6332)
O (0.9908, 0.6509, 0.8668)



First-principles (GGA+U) data for crystalline BeCrP2O at its relaxed geometry, as listed in the Alexandria database.

Summary:
excess energy over the best structure of this formula in the dataset = 0 meV/atom

Unit cell a=4.8968 b=4.8968 c=2.9022 alpha=90.00 beta=90.00 gamma=90.00
Sites, in units of the cell vectors:
Be (0.0000, 0.0000, 0.0000)
Cr (0.5000, 0.5000, 0.5000)
P (0.0000, 0.5000, 0.0000)
P (0.5000, 0.0000, 0.0000)
O (0.0000, 0.0000, 0.5000)



M_tot for the records above, in order: 5.0 5.0 6.0 6.0 5.0 11.7 2.1 3.9 μB per formula unit
E for the records above, in order: -88.2 -95.5 -214.7 -216.4 -43.3 -31.1 -130.0 -27.6 eV for the cell shown